Arrangement 1

Density functional theory data (PBE) for a relaxed Na2UCl6 crystal.

```
27
Lattice="12.081 0.000 0.000 -6.041 10.463 0.000 0.000 0.000 6.267" Properties=species:S:1:pos:R:3 pbc="T T T"
Na -2.055 3.559 0.000
Na -3.986 6.903 0.000
Na 4.110 0.000 0.000
Na 2.055 3.559 0.000
Na 7.971 0.000 0.000
Na 3.986 6.903 0.000
U 0.000 0.000 0.000
U 0.000 6.975 3.130
U 6.041 3.488 3.138
Cl 0.000 2.203 1.436
Cl -4.133 9.361 1.436
Cl -1.876 5.892 1.602
Cl 1.908 1.102 4.831
Cl 0.000 4.808 4.636
Cl -1.876 8.058 4.636
Cl 1.876 5.892 1.602
Cl 0.000 9.142 1.602
Cl 4.164 2.404 1.632
Cl 1.876 8.058 4.636
Cl 6.041 1.321 4.665
Cl 4.164 4.571 4.665
Cl 7.917 2.404 1.632
Cl 6.041 5.654 1.632
Cl 4.133 9.361 1.436
Cl 7.917 4.571 4.665
Cl 10.173 1.102 4.831
Cl 6.041 8.260 4.831
```

***

Arrangement 2

Density functional theory data (PBE) for a relaxed Na2UCl6 crystal.

```
18
Lattice="6.564 0.000 0.000 0.000 6.564 0.000 0.000 0.000 12.470" Properties=species:S:1:pos:R:3 pbc="T T T"
Na 0.000 0.000 2.055
Na 0.000 0.000 10.415
Na 3.282 3.282 4.180
Na 3.282 3.282 8.290
U 0.000 0.000 6.235
U 3.282 3.282 0.000
Cl 1.262 1.262 4.302
Cl 1.262 1.262 8.168
Cl 1.408 1.408 0.000
Cl 1.874 4.690 6.235
Cl 2.020 4.545 1.933
Cl 2.020 4.545 10.537
Cl 4.545 2.020 1.933
Cl 4.545 2.020 10.537
Cl 4.690 1.874 6.235
Cl 5.156 5.156 0.000
Cl 5.302 5.302 4.302
Cl 5.302 5.302 8.168
```

***

The most stable arrangement is arrangement 2, and the next structure is 11 meV/atom less stable.